1.
# SrCuRh

A geometry-optimized SrCuRh structure (PBE, the Alexandria database).

Summary:
Energy relative to the lowest polymorph listed for this composition: 89 meV/atom
Energy of formation: -0.34 eV/f.u.
VASP energy: -4.490 eV per atom

extended XYZ file:
```
3
Lattice="4.2134 0.0000 0.0000 -2.1067 3.6489 0.0000 0.0000 0.0000 4.3956" Properties=species:S:1:pos:R:3 pbc="T T T"
Sr 0.0000 2.4326 2.9300
Rh 2.1067 1.2163 0.7336
Cu 0.0000 0.0000 0.7320
```


2.
# VNiC3

A geometry-optimized VNiC3 structure (PBE, the Alexandria database).

Summary:
Energy relative to the lowest polymorph listed for this composition: 113 meV/atom
Energy of formation: 10.52 eV/f.u.
VASP energy: -6.410 eV per atom

extended XYZ file:
```
5
Lattice="-0.1942 -1.5166 3.3735 3.6980 -0.0120 0.2075 -0.0740 3.3791 1.5148" Properties=species:S:1:pos:R:3 pbc="T T T"
Ni 0.0000 0.0000 0.0000
C 1.8490 -0.0060 0.1037
C -0.0370 1.6895 0.7574
C -0.0971 -0.7583 1.6868
V 1.7149 0.9252 2.5479
```


3.
# NbCdPN2

A geometry-optimized NbCdPN2 structure (PBE, the Alexandria database).

Summary:
VASP energy: -4.684 eV per atom
Uncorrected formation energy: 185.72 kJ/mol of atoms

extended XYZ file:
```
5
Lattice="4.0476 0.0000 0.0000 0.0000 4.8735 0.0000 0.0000 0.0000 4.0476" Properties=species:S:1:pos:R:3 pbc="T T T"
P 0.0000 2.4367 0.0000
Nb 2.0238 2.4367 2.0238
N 0.0000 0.0000 2.0238
N 2.0238 0.0000 0.0000
Cd 0.0000 0.0000 0.0000
```


The lowest VASP energy belongs to which entry? VNiC3


The highest VASP energy belongs to which entry? SrCuRh


VASP energy of number 3 (NbCdPN2)? -4.684 eV per atom


Look up the VASP energy of the first one. -4.490 eV per atom